(1)
A relaxed structure of Ba2VCu2O6, computed with PBE+U.

Unit cell a=5.8800 b=5.8800 c=15.7526 alpha=90.00 beta=90.00 gamma=120.00
Space group R-3m (No. 166, hexagonal axes)
Unique sites:
Ba  0.0000  0.0000  0.2244 [6 per cell]
V  0.0000  0.0000  0.0000 [3 per cell]
Cu  0.0000  0.0000  0.4176 [6 per cell]
O  0.0347  0.5173  0.7416 [18 per cell]

The value obtained for the total energy is -6.215 eV/atom.

=====

(2)
A relaxed structure of Ba2VCuO, computed with PBE+U.

Unit cell a=6.076 b=6.076 c=4.553 alpha=90.00 beta=90.00 gamma=90.00
Space group P4/mmm (No. 123)
Unique sites:
Ba  0.000  0.500  0.000 [2 per cell]
V  0.000  0.000  0.000 [1 per cell]
Cu  0.000  0.000  0.500 [1 per cell]
O  0.500  0.500  0.500 [1 per cell]

The value obtained for the total energy is -3.482 eV/atom.

=====

(3)
A relaxed structure of BaVCuO4, computed with PBE+U.

Unit cell a=5.745 b=5.745 c=7.847 alpha=90.00 beta=90.00 gamma=90.00
Space group I-4 (No. 82)
Unique sites:
Ba  0.000  0.000  0.000 [2 per cell]
V  0.000  0.500  0.750 [2 per cell]
Cu  0.000  0.000  0.500 [2 per cell]
O  0.129  0.280  0.627 [8 per cell]

The value obtained for the total energy is -6.640 eV/atom.

=====

(4)
A relaxed structure of Ba2CuW3O12, computed with PBE+U.

Unit cell a=7.4568 b=7.4568 c=17.5891 alpha=90.00 beta=90.00 gamma=120.00
Space group R-3m (No. 166, hexagonal axes)
Unique sites:
Ba  0.0000  0.0000  0.1659 [6 per cell]
Cu  0.0000  0.0000  0.5000 [3 per cell]
W  0.0000  0.5000  0.0000 [9 per cell]
O  0.0578  0.5289  0.1055 [18 per cell]
O  0.0871  0.5435  0.3547 [18 per cell]

The value obtained for the total energy is -6.962 eV/atom.

=====

(5)
A relaxed structure of BaCuW2O8, computed with PBE+U.

Unit cell a=11.444 b=5.418 c=7.113 alpha=90.00 beta=115.66 gamma=90.00
Space group C2/m (No. 12)
Unique sites:
Ba  0.000  0.000  0.000 [2 per cell]
Cu  0.000  0.500  0.500 [2 per cell]
W  0.194  0.000  0.658 [4 per cell]
O  0.105  0.257  0.703 [8 per cell]
O  0.140  0.500  0.149 [4 per cell]
O  0.183  0.000  0.396 [4 per cell]

The value obtained for the total energy is -6.882 eV/atom.

=====

(6)
A relaxed structure of Ba8Y4CuW3O24, computed with PBE+U.

Unit cell a=8.491 b=8.491 c=17.288 alpha=90.00 beta=90.00 gamma=90.00
Space group I4/mmm (No. 139)
Unique sites:
Ba  0.231  0.231  0.118 [16 per cell]
Y  0.000  0.000  0.258 [4 per cell]
Y  0.000  0.500  0.000 [4 per cell]
Cu  0.000  0.000  0.000 [2 per cell]
W  0.000  0.000  0.500 [2 per cell]
W  0.000  0.500  0.250 [4 per cell]
O  0.000  0.000  0.135 [4 per cell]
O  0.000  0.000  0.388 [4 per cell]
O  0.000  0.232  0.500 [8 per cell]
O  0.000  0.244  0.000 [8 per cell]
O  0.000  0.270  0.253 [16 per cell]
O  0.000  0.500  0.135 [8 per cell]

The value obtained for the total energy is -7.379 eV/atom.

=====

(7)
A relaxed structure of BaYCuWO5, computed with PBE+U.

Unit cell a=4.035 b=4.035 c=7.979 alpha=90.00 beta=90.00 gamma=90.00
Space group P4mm (No. 99)
Unique sites:
Ba  0.000  0.000  0.000 [1 per cell]
Y  0.000  0.000  0.437 [1 per cell]
Cu  0.500  0.500  0.285 [1 per cell]
W  0.500  0.500  0.680 [1 per cell]
O  0.000  0.500  0.284 [2 per cell]
O  0.000  0.500  0.646 [2 per cell]
O  0.500  0.500  0.937 [1 per cell]

The value obtained for the total energy is -7.049 eV/atom.

=====

(8)
A relaxed structure of Ba4Y2Cu4W2O17, computed with PBE+U.

Unit cell a=5.896 b=6.053 c=12.313 alpha=101.73 beta=101.45 gamma=98.58
Space group P1 (No. 1)
Unique sites:
Ba  0.000  0.000  0.000 [1 per cell]
Ba  0.159  0.162  0.345 [1 per cell]
Ba  0.388  0.360  0.693 [1 per cell]
Ba  0.656  0.644  0.341 [1 per cell]
Y  0.575  0.379  0.998 [1 per cell]
Y  0.842  0.910  0.685 [1 per cell]
Cu  0.079  0.580  0.164 [1 per cell]
Cu  0.414  0.911  0.839 [1 per cell]
Cu  0.773  0.248  0.522 [1 per cell]
Cu  0.965  0.455  0.843 [1 per cell]
W  0.245  0.759  0.520 [1 per cell]
W  0.577  0.067  0.175 [1 per cell]
O  0.048  0.469  0.510 [1 per cell]
O  0.203  0.663  0.357 [1 per cell]
O  0.226  0.308  0.882 [1 per cell]
O  0.234  0.846  0.689 [1 per cell]
O  0.308  0.860  0.178 [1 per cell]
O  0.401  0.315  0.151 [1 per cell]
O  0.467  0.048  0.526 [1 per cell]
O  0.502  0.978  0.002 [1 per cell]
O  0.534  0.644  0.558 [1 per cell]
O  0.649  0.186  0.339 [1 per cell]
O  0.674  0.148  0.839 [1 per cell]
O  0.786  0.856  0.184 [1 per cell]
O  0.795  0.686  0.805 [1 per cell]
O  0.851  0.304  0.162 [1 per cell]
O  0.907  0.287  0.684 [1 per cell]
O  0.941  0.549  0.001 [1 per cell]
O  0.989  0.928  0.507 [1 per cell]

The value obtained for the total energy is -6.747 eV/atom.

=====

Copy entry 2 word for word.
A relaxed structure of Ba2VCuO, computed with PBE+U.

Unit cell a=6.076 b=6.076 c=4.553 alpha=90.00 beta=90.00 gamma=90.00
Space group P4/mmm (No. 123)
Unique sites:
Ba  0.000  0.500  0.000 [2 per cell]
V  0.000  0.000  0.000 [1 per cell]
Cu  0.000  0.000  0.500 [1 per cell]
O  0.500  0.500  0.500 [1 per cell]

The value obtained for the total energy is -3.482 eV/atom.